Record 1
PRu2W: optimized geometry, GGA-PBEsol.

Values from the calculation:
**Total magnetization**: 0.0 μB per formula unit
**DOS at the Fermi energy**: 3.80 states/eV/f.u.

Cell and atoms, written as CIF:
```
data_PRu2W
_chemical_formula_sum 'P2 Ru4 W2'
_space_group_name_H-M_alt 'I -4 m 2'
_space_group_IT_number 119
_space_group_name_Hall 'I -4 -2'
_cell_length_a 3.696
_cell_length_b 3.696
_cell_length_c 7.856
_cell_angle_alpha 90.00
_cell_angle_beta 90.00
_cell_angle_gamma 90.00
loop_
_atom_site_label
_atom_site_fract_x
_atom_site_fract_y
_atom_site_fract_z
P1 0.000 0.000 0.000
Ru1 0.000 0.000 0.500
Ru2 0.000 0.500 0.250
W1 0.000 0.500 0.750
```



Record 2
Re2RuSe: optimized geometry, GGA-PBEsol.

Values from the calculation:
**Total magnetization**: 0.0 μB per formula unit
**E_form (uncorrected)**: 0.2264 eV/atom
**Energy above the lowest structure with this stoichiometry**: 0 meV/atom
**DOS at the Fermi energy**: 3.68 states/eV/f.u.

Cell and atoms, written as CIF:
```
data_Re2RuSe
_chemical_formula_sum 'Re6 Ru3 Se3'
_space_group_name_H-M_alt 'R 3 m'
_space_group_IT_number 160
_space_group_name_Hall 'R 3 -2"'
_cell_length_a 2.8325
_cell_length_b 2.8325
_cell_length_c 25.0767
_cell_angle_alpha 90.00
_cell_angle_beta 90.00
_cell_angle_gamma 120.00
loop_
_atom_site_label
_atom_site_fract_x
_atom_site_fract_y
_atom_site_fract_z
Re1 0.0000 0.0000 0.0000
Re2 0.0000 0.0000 0.2476
Ru1 0.0000 0.0000 0.7510
Se1 0.0000 0.0000 0.4986
```



Record 3
Ag3GeI: optimized geometry, GGA-PBEsol.

Values from the calculation:
**Total magnetization**: 0.0 μB per formula unit
**E_form (uncorrected)**: 1.1133 eV/atom
**DOS at the Fermi energy**: 4.13 states/eV/f.u.

Cell and atoms, written as CIF:
```
data_Ag3GeI
_chemical_formula_sum 'Ag3 Ge1 I1'
_space_group_name_H-M_alt 'P m -3 m'
_space_group_IT_number 221
_space_group_name_Hall '-P 4 2 3'
_cell_length_a 5.243
_cell_length_b 5.243
_cell_length_c 5.243
_cell_angle_alpha 90.00
_cell_angle_beta 90.00
_cell_angle_gamma 90.00
loop_
_atom_site_label
_atom_site_fract_x
_atom_site_fract_y
_atom_site_fract_z
Ag1 0.000 0.000 0.500
Ge1 0.500 0.500 0.500
I1 0.000 0.000 0.000
```



Record 4
LiZrBi2: optimized geometry, GGA-PBEsol.

Values from the calculation:
**Total magnetization**: 0.0 μB per formula unit
**DOS at the Fermi energy**: 2.29 states/eV/f.u.

Cell and atoms, written as CIF:
```
data_LiZrBi2
_chemical_formula_sum 'Li4 Zr4 Bi8'
_space_group_name_H-M_alt 'F m -3 m'
_space_group_IT_number 225
_space_group_name_Hall '-F 4 2 3'
_cell_length_a 7.279
_cell_length_b 7.279
_cell_length_c 7.279
_cell_angle_alpha 90.00
_cell_angle_beta 90.00
_cell_angle_gamma 90.00
loop_
_atom_site_label
_atom_site_fract_x
_atom_site_fract_y
_atom_site_fract_z
Li1 0.000 0.000 0.000
Zr1 0.000 0.000 0.500
Bi1 0.250 0.250 0.250
```



no.,calculated total energy (eV per atom)
1,-9.897
2,-9.945
3,-2.215
4,-5.109